Record 1
Density functional theory data (meta-GGA SCAN) for a crystal of ZrSi2Ag relaxed with PBEsol.

Formation energy from raw total energies ... 93 meV/atom

```
4
Lattice="-0.825 -2.188 1.569 2.566 -1.137 -0.236 2.435 4.054 6.934" Properties=species:S:1:pos:R:3 pbc="T T T"
Ag 2.088 0.365 4.134
Si 1.835 3.056 5.227
Si 0.599 0.998 1.707
Zr 0.870 -1.663 0.667
```

Record 2
Density functional theory data (meta-GGA SCAN) for a crystal of LaZr2P relaxed with PBEsol.

Energy relative to the elements ... -0.046 eV per atom

```
4
Lattice="-3.561 0.239 -3.419 -3.325 -3.638 -0.363 -4.685 0.789 1.362" Properties=species:S:1:pos:R:3 pbc="T T T"
La -5.785 -1.305 -1.210
P -2.893 -0.652 -0.605
Zr 0.000 0.000 0.000
Zr -8.678 -1.957 -1.815
```

Record 3
Density functional theory data (meta-GGA SCAN) for a crystal of TaReW2 relaxed with PBEsol.

Energy relative to the elements ... 0.269 eV per atom

```
4
Lattice="-1.524 2.270 1.167 -1.085 -0.201 2.760 6.351 3.955 4.385" Properties=species:S:1:pos:R:3 pbc="T T T"
Re 1.834 2.995 4.140
Ta 2.790 4.510 6.227
W -2.572 2.085 3.943
W 0.953 1.514 2.085
```

Record 4
Density functional theory data (meta-GGA SCAN) for a crystal of TcMoRh2 relaxed with PBEsol.

Energy relative to the elements ... -0.038 eV per atom

```
4
Lattice="2.704 0.000 0.000 0.000 4.651 0.004 -1.352 -0.794 4.441" Properties=species:S:1:pos:R:3 pbc="T T T"
Mo 0.000 2.326 0.002
Rh 0.000 0.757 2.208
Rh 1.352 3.101 2.236
Tc 1.352 0.000 0.000
```

Record 5
Density functional theory data (meta-GGA SCAN) for a crystal of Sr2TeRh relaxed with PBEsol.

Formation energy from raw total energies ... -826 meV/atom

```
4
Lattice="4.499 0.000 0.000 0.000 4.470 0.000 -2.250 0.000 5.732" Properties=species:S:1:pos:R:3 pbc="T T T"
Sr 2.250 0.000 5.547
Sr 0.000 2.235 3.057
Te 2.250 0.000 2.165
Rh 2.250 2.235 0.700
```

Record 6
Density functional theory data (meta-GGA SCAN) for a crystal of BPPtS2 relaxed with PBEsol.

Formation energy from raw total energies ... 1468 meV/atom

```
5
Lattice="4.349 0.000 0.000 0.000 4.874 0.000 0.000 0.000 4.874" Properties=species:S:1:pos:R:3 pbc="T T T"
P 2.174 0.000 0.000
S 0.000 0.000 2.437
S 0.000 2.437 0.000
B 2.174 2.437 2.437
Pt 0.000 0.000 0.000
```

Record 7
Density functional theory data (meta-GGA SCAN) for a crystal of Si2PdBr relaxed with PBEsol.

Formation energy from raw total energies ... 739 meV/atom

```
4
Lattice="4.584 0.000 0.000 2.292 3.970 0.000 2.292 1.323 3.743" Properties=species:S:1:pos:R:3 pbc="T T T"
Si 2.292 1.323 0.936
Si 6.876 3.970 2.807
Br 0.000 0.000 0.000
Pd 4.584 2.647 1.871
```

Record 8
Density functional theory data (meta-GGA SCAN) for a crystal of Pr5SiGe2 relaxed with PBEsol.

Formation energy from raw total energies ... -710 meV/atom

```
16
Lattice="6.644 0.000 0.000 0.000 8.787 0.000 0.000 -4.393 7.617" Properties=species:S:1:pos:R:3 pbc="T T T"
Pr 4.964 4.396 2.552
Pr 4.964 0.003 5.065
Pr 1.680 0.003 5.065
Pr 1.680 4.396 2.552
Pr 3.322 1.081 1.890
Pr 3.322 5.475 5.728
Pr 3.322 6.626 0.000
Pr 0.000 3.294 5.722
Pr 0.000 7.687 1.896
Pr 0.000 2.184 0.000
Si 3.322 2.667 4.629
Si 3.322 7.061 2.989
Ge 3.322 3.448 0.000
Ge 0.000 1.721 2.983
Ge 0.000 -2.672 4.634
Ge 0.000 5.340 0.000
```

Record 9
Density functional theory data (meta-GGA SCAN) for a crystal of SrLaSe2 relaxed with PBEsol.

Formation energy from raw total energies ... -867 meV/atom

```
4
Lattice="5.177 0.000 0.000 2.588 4.483 0.000 2.588 1.494 4.227" Properties=species:S:1:pos:R:3 pbc="T T T"
La 5.177 2.989 2.113
Se 0.000 0.000 0.000
Se 7.765 4.483 3.170
Sr 2.588 1.494 1.057
```

Record 10
Density functional theory data (meta-GGA SCAN) for a crystal of LiAl2Cd relaxed with PBEsol.

Energy relative to the elements ... 0.066 eV per atom

```
4
Lattice="2.891 -0.146 0.000 -1.149 2.657 0.000 0.000 0.000 9.528" Properties=species:S:1:pos:R:3 pbc="T T T"
Li 0.871 1.255 0.000
Al 0.000 0.000 2.282
Al 0.000 0.000 7.246
Cd 0.871 1.255 4.764
```

Record 11
Density functional theory data (meta-GGA SCAN) for a crystal of Pb3Se2Br2O6 relaxed with PBEsol.

Formation energy from raw total energies ... -1105 meV/atom

```
26
Lattice="5.643 0.000 0.000 -2.821 6.693 0.091 0.000 -0.955 13.232" Properties=species:S:1:pos:R:3 pbc="T T T"
Br 2.875 1.044 12.505
Br 0.053 4.216 7.434
Br -0.053 4.694 0.818
Br 2.768 1.522 5.889
O -1.570 3.809 10.701
O 1.251 1.452 9.238
O 4.391 1.929 2.622
O 1.570 4.286 4.085
O -2.524 5.876 8.480
O 0.298 -0.616 11.460
O 5.345 -0.138 4.844
O 2.524 6.353 1.863
O 4.289 1.190 9.239
O 1.468 4.071 10.700
O -1.468 4.548 4.084
O 1.353 1.667 2.623
Pb 2.464 -0.716 9.924
Pb 3.179 -0.239 3.308
Pb -0.063 1.954 11.351
Pb 2.758 3.307 8.589
Pb 2.884 3.784 1.973
Pb 0.063 2.431 4.735
Se 0.021 1.312 1.563
Se 2.843 4.904 5.145
Se 2.800 4.426 11.761
Se -0.021 0.834 8.179
```

Record 12
Density functional theory data (meta-GGA SCAN) for a crystal of ZnB2I relaxed with PBEsol.

Formation energy from raw total energies ... 2075 meV/atom

```
4
Lattice="-2.171 3.699 0.496 -2.747 1.318 -3.060 -4.253 -0.076 0.739" Properties=species:S:1:pos:R:3 pbc="T T T"
I -4.586 2.471 -0.912
Zn 0.000 0.000 0.000
B -2.293 1.235 -0.456
B -6.878 3.706 -1.368
```

Record 13
Density functional theory data (meta-GGA SCAN) for a crystal of NaZn2As relaxed with PBEsol.

Energy relative to the elements ... 0.024 eV per atom

```
8
Lattice="-3.599 -3.339 2.409 1.869 -5.834 0.911 0.214 -0.247 6.184" Properties=species:S:1:pos:R:3 pbc="T T T"
Na -1.799 -1.670 1.204
Na 0.142 -3.875 4.150
As 0.000 0.000 0.000
As -1.658 -5.545 5.354
Zn -0.686 -7.846 5.169
Zn 0.069 -0.740 3.733
Zn -0.081 -4.821 7.161
Zn -2.335 -5.434 2.946
```

Record 14
Density functional theory data (meta-GGA SCAN) for a crystal of SiHgSb2Te relaxed with PBEsol.

Formation energy from raw total energies ... 1170 meV/atom

```
5
Lattice="-2.873 -3.882 -2.391 3.467 -0.025 -4.125 3.033 -3.829 2.572" Properties=species:S:1:pos:R:3 pbc="T T T"
Sb 1.734 -0.013 -2.063
Sb -1.436 -1.941 -1.196
Si 1.814 -3.868 -1.972
Te 1.516 -1.914 1.286
Hg 0.000 0.000 0.000
```

Record 15
Density functional theory data (meta-GGA SCAN) for a crystal of Ta2PtSe7 relaxed with PBEsol.

Formation energy from raw total energies ... -683 meV/atom

```
20
Lattice="3.515 0.000 0.000 1.757 7.032 -0.102 1.757 1.169 17.542" Properties=species:S:1:pos:R:3 pbc="T T T"
Ta 5.272 6.768 6.901
Ta 1.757 1.432 10.540
Ta 3.515 5.521 15.865
Ta 3.515 2.680 1.575
Pt 1.757 1.402 3.624
Pt 5.272 6.799 13.816
Se 3.515 6.296 12.106
Se 3.515 1.905 5.334
Se 1.757 1.548 7.810
Se 5.272 6.652 9.631
Se 3.515 3.324 10.123
Se 3.515 4.877 7.317
Se 3.515 4.978 0.157
Se 3.515 3.222 17.283
Se 3.515 6.237 5.040
Se 3.515 1.963 12.400
Se 3.515 0.270 2.207
Se 3.515 7.930 15.233
Se 1.757 3.897 2.981
Se 5.272 4.304 14.459
```

Record 16
Density functional theory data (meta-GGA SCAN) for a crystal of KLa2Rh relaxed with PBEsol.

Energy relative to the elements ... -0.437 eV per atom

```
4
Lattice="4.167 0.000 0.000 -2.084 3.614 -0.076 0.000 -2.128 10.476" Properties=species:S:1:pos:R:3 pbc="T T T"
K 2.084 0.000 0.000
Rh 0.000 -1.064 5.238
La 2.084 0.172 6.695
La 0.000 1.315 3.706
```

Record 17
Density functional theory data (meta-GGA SCAN) for a crystal of Bi3MoCl relaxed with PBEsol.

Formation energy from raw total energies ... 1289 meV/atom

```
5
Lattice="-4.010 -3.437 0.496 0.358 -1.163 -5.164 3.454 -3.870 1.111" Properties=species:S:1:pos:R:3 pbc="T T T"
Mo -0.099 -4.235 -1.778
Bi 0.179 -0.581 -2.582
Bi 1.727 -1.935 0.556
Bi -2.005 -1.719 0.248
Cl 0.000 0.000 0.000
```

Record 18
Density functional theory data (meta-GGA SCAN) for a crystal of NaLaCuTe4 relaxed with PBEsol.

Formation energy from raw total energies ... -938 meV/atom

```
14
Lattice="-3.934 -1.886 -0.386 1.877 -3.953 0.184 -1.939 0.001 19.761" Properties=species:S:1:pos:R:3 pbc="T T T"
Na 0.693 -1.976 2.592
Na -3.661 -0.942 17.068
La -0.237 -1.976 12.074
La -2.730 -0.942 7.586
Cu 0.000 0.000 0.000
Cu -1.029 -2.919 -0.101
Te -0.515 0.000 5.248
Te -2.453 -2.918 14.412
Te -0.854 -1.975 18.365
Te -2.113 -0.943 1.294
Te -1.424 0.001 14.512
Te -1.544 -2.919 5.148
Te 0.087 -1.976 8.771
Te -3.054 -0.942 10.889
```

Record 19
Density functional theory data (meta-GGA SCAN) for a crystal of KScTa2 relaxed with PBEsol.

Energy relative to the elements ... 1.117 eV per atom

```
4
Lattice="-0.357 1.179 -2.422 3.592 -4.133 -1.534 -5.939 -1.904 0.968" Properties=species:S:1:pos:R:3 pbc="T T T"
K -0.178 0.589 -1.211
Sc 1.796 -2.066 -0.767
Ta -2.969 -0.952 0.484
Ta -1.351 -2.429 -1.494
```

Record 20
Density functional theory data (meta-GGA SCAN) for a crystal of CaFe2Re relaxed with PBEsol.

Energy relative to the elements ... 0.794 eV per atom

```
4
Lattice="3.008 0.000 0.000 0.000 4.788 0.000 -1.504 -2.394 4.262" Properties=species:S:1:pos:R:3 pbc="T T T"
Ca 0.000 2.394 0.000
Fe 1.504 2.394 2.374
Fe 0.000 0.000 1.888
Re 1.504 0.000 0.000
```